Entry 1:
{
  "formula": "Nd2Sc2CI2Br3",
  "functional": "PBE",
  "state": "optimized geometry",
  "final_energy_ev_per_cell": -52.3,
  "m_tot_mub_per_cell": 0.05,
  "spacegroup": "C2/m",
  "relative_energy_ev_per_atom": 0.000,
  "lattice": [[-4.002, 6.896, 6.546], [-5.584, 3.649, 7.869], [7.219, -1.889, 3.999]],
  "species": ["Br", "Br", "Br", "Sc", "Sc", "Nd", "Nd", "I", "I", "C"],
  "fractional_positions": [[0.849, 0.849, 0.150], [0.151, 0.151, 0.850], [0.500, 0.500, 0.500], [0.612, 0.612, 0.049], [0.388, 0.388, 0.951], [0.000, 0.000, 0.794], [0.000, 0.000, 0.206], [0.841, 0.841, 0.690], [0.159, 0.159, 0.310], [0.500, 0.500, 0.000]]
}

---

Entry 2:
{
  "formula": "HfB2Ir",
  "functional": "PBE",
  "state": "optimized geometry",
  "final_energy_ev_per_cell": -29.5,
  "m_tot_mub_per_cell": 0.01,
  "spacegroup": "F-43m",
  "lattice": [[0.000, 2.960, 2.960], [2.960, 0.000, 2.960], [2.960, 2.960, 0.000]],
  "species": ["Hf", "B", "B", "Ir"],
  "fractional_positions": [[0.500, 0.500, 0.500], [0.000, 0.000, 0.000], [0.750, 0.750, 0.750], [0.250, 0.250, 0.250]]
}

---

Entry 3:
{
  "formula": "ZrScTcPd",
  "functional": "PBE",
  "state": "optimized geometry",
  "final_energy_ev_per_cell": -32.9,
  "e_form_mev_per_atom": -628,
  "m_tot_mub_per_cell": 0.00,
  "spacegroup": "P4mm",
  "lattice": [[-1.415, 2.591, 1.502], [-2.993, -1.169, -0.804], [-0.195, -3.352, 5.600]],
  "species": ["Zr", "Pd", "Tc", "Sc"],
  "fractional_positions": [[0.500, 0.500, 0.734], [0.000, 0.000, 0.002], [0.000, 0.000, 0.505], [0.500, 0.500, 0.259]]
}

---

Entry 4:
{
  "formula": "Hf4AlCoN2",
  "functional": "PBE",
  "state": "optimized geometry",
  "final_energy_ev_per_cell": -75.2,
  "m_tot_mub_per_cell": 0.09,
  "spacegroup": "P-6m2",
  "lattice": [[3.173, 0.000, 0.000], [-1.586, 2.748, 0.000], [0.000, 0.000, 13.661]],
  "species": ["Co", "N", "N", "Hf", "Hf", "Hf", "Hf", "Al"],
  "fractional_positions": [[0.667, 0.333, 0.500], [0.333, 0.667, 0.261], [0.333, 0.667, 0.739], [0.000, 0.000, 0.641], [0.667, 0.333, 0.167], [0.667, 0.333, 0.833], [0.000, 0.000, 0.359], [0.000, 0.000, 0.000]]
}

---

Entry 5:
{
  "formula": "In2FeC4",
  "functional": "PBE",
  "state": "optimized geometry",
  "final_energy_ev_per_cell": -90.3,
  "m_tot_mub_per_cell": 0.00,
  "spacegroup": "Ibam",
  "lattice": [[2.794, -4.909, 4.232], [-6.366, 2.839, -1.108], [3.505, -4.973, -3.578]],
  "species": ["Fe", "Fe", "C", "C", "C", "C", "C", "C", "C", "C", "In", "In", "In", "In"],
  "fractional_positions": [[0.250, 0.250, 0.000], [0.750, 0.750, 0.000], [0.834, 0.662, 0.497], [0.083, 0.179, 0.262], [0.166, 0.338, 0.503], [0.417, 0.679, 0.097], [0.334, 0.838, 0.172], [0.583, 0.321, 0.903], [0.666, 0.162, 0.828], [0.917, 0.821, 0.738], [0.152, 0.715, 0.867], [0.652, 0.785, 0.438], [0.348, 0.215, 0.562], [0.848, 0.285, 0.133]]
}

---

Entry 6:
{
  "formula": "Hf3Bi2Sb2Pt4",
  "functional": "PBE",
  "state": "optimized geometry",
  "final_energy_ev_per_cell": -78.8,
  "m_tot_mub_per_cell": 0.00,
  "spacegroup": "I-42m",
  "lattice": [[5.232, -4.409, 3.849], [-0.523, 1.512, 7.686], [-5.459, -1.852, -5.329]],
  "species": ["Sb", "Sb", "Hf", "Hf", "Hf", "Pt", "Pt", "Pt", "Pt", "Bi", "Bi"],
  "fractional_positions": [[0.734, 0.734, 0.000], [0.266, 0.266, 0.000], [0.000, 0.000, 0.000], [0.750, 0.250, 0.500], [0.250, 0.750, 0.500], [0.902, 0.368, 0.000], [0.368, 0.902, 0.000], [0.098, 0.098, 0.467], [0.632, 0.632, 0.533], [0.500, 0.000, 0.500], [0.000, 0.500, 0.500]]
}

---

Entry 7:
{
  "formula": "NbCo2Sn",
  "functional": "PBE",
  "state": "optimized geometry",
  "final_energy_ev_per_cell": -27.5,
  "m_tot_mub_per_cell": 0.63,
  "spacegroup": "F-43m",
  "lattice": [[1.446, -2.563, -3.240], [1.976, -3.795, 0.927], [-2.020, -3.787, -0.862]],
  "species": ["Co", "Co", "Nb", "Sn"],
  "fractional_positions": [[0.750, 0.750, 0.750], [0.000, 0.000, 0.000], [0.250, 0.250, 0.250], [0.500, 0.500, 0.500]]
}

---

Entry 8:
{
  "formula": "InNi2Pd2",
  "functional": "PBE",
  "state": "optimized geometry",
  "final_energy_ev_per_cell": -48.2,
  "m_tot_mub_per_cell": 2.16,
  "spacegroup": "P4/mbm",
  "lattice": [[-4.988, 3.469, 3.792], [-5.009, -2.096, -4.670], [-0.477, -2.443, 1.607]],
  "species": ["Pd", "Pd", "Pd", "Pd", "In", "In", "Ni", "Ni", "Ni", "Ni"],
  "fractional_positions": [[0.137, 0.363, 0.000], [0.637, 0.137, 0.000], [0.363, 0.863, 0.000], [0.863, 0.637, 0.000], [0.000, 0.000, 0.000], [0.500, 0.500, 0.000], [0.659, 0.841, 0.500], [0.341, 0.159, 0.500], [0.841, 0.341, 0.500], [0.159, 0.659, 0.500]]
}

---

Entry 9:
{
  "formula": "ZrCl",
  "functional": "PBE",
  "state": "optimized geometry",
  "final_energy_ev_per_cell": -25.9,
  "m_tot_mub_per_cell": 0.00,
  "spacegroup": "R-3m",
  "lattice": [[-5.960, 1.014, 8.017], [-5.771, 4.294, 7.005], [-8.068, 2.181, 5.565]],
  "species": ["Zr", "Zr", "Cl", "Cl"],
  "fractional_positions": [[0.874, 0.874, 0.874], [0.126, 0.126, 0.126], [0.600, 0.600, 0.600], [0.400, 0.400, 0.400]]
}

---

Entry 10:
{
  "formula": "LiFeAgGe",
  "functional": "PBE",
  "state": "optimized geometry",
  "final_energy_ev_per_cell": -17.6,
  "m_tot_mub_per_cell": 2.52,
  "spacegroup": "F-43m",
  "relative_energy_ev_per_atom": 0.000,
  "lattice": [[-0.828, 0.262, 4.260], [-3.848, -1.301, 1.550], [-0.269, -3.622, 2.389]],
  "species": ["Ge", "Ag", "Li", "Fe"],
  "fractional_positions": [[0.000, 0.000, 0.000], [0.500, 0.500, 0.500], [0.250, 0.250, 0.250], [0.750, 0.750, 0.750]]
}

---

Entry 11:
{
  "formula": "NdZn3Os4O12",
  "functional": "PBE",
  "state": "optimized geometry",
  "final_energy_ev_per_cell": -135.8,
  "m_tot_mub_per_cell": 2.04,
  "spacegroup": "Im-3",
  "lattice": [[-3.789, 3.789, 3.789], [3.789, -3.789, 3.789], [3.789, 3.789, -3.789]],
  "species": ["Zn", "Zn", "Zn", "Os", "Os", "Os", "Os", "Nd", "O", "O", "O", "O", "O", "O", "O", "O", "O", "O", "O", "O"],
  "fractional_positions": [[0.500, 0.000, 0.500], [0.000, 0.500, 0.500], [0.500, 0.500, 0.000], [0.000, 0.000, 0.500], [0.500, 0.000, 0.000], [0.000, 0.500, 0.000], [0.500, 0.500, 0.500], [0.000, 0.000, 0.000], [0.822, 0.303, 0.125], [0.875, 0.178, 0.697], [0.303, 0.480, 0.178], [0.822, 0.697, 0.520], [0.125, 0.822, 0.303], [0.697, 0.875, 0.178], [0.697, 0.520, 0.822], [0.303, 0.125, 0.822], [0.178, 0.303, 0.480], [0.178, 0.697, 0.875], [0.480, 0.178, 0.303], [0.520, 0.822, 0.697]]
}

---

Entry 12:
{
  "formula": "NaErBi",
  "functional": "PBE",
  "state": "optimized geometry",
  "final_energy_ev_per_cell": -10.8,
  "m_tot_mub_per_cell": 0.00,
  "spacegroup": "F-43m",
  "lattice": [[3.493, -3.181, -2.030], [-0.739, -5.086, 0.186], [-1.083, -2.600, -4.303]],
  "species": ["Er", "Bi", "Na"],
  "fractional_positions": [[0.250, 0.250, 0.250], [0.000, 0.000, 0.000], [0.750, 0.750, 0.750]]
}